First-principles (PBE-GGA) data for a relaxed structure of TmCrRh2, as listed in Alexandria via LeMat-Bulk.

## Properties
theoretical density = 10660 kg/m3
energy above the lowest structure with this stoichiometry = 0.038 eV/atom
DOS(E_F) = 0.723 states/eV per atom
SG = P4/mmm, No. 123
calculated total energy = -7.580 eV per atom

Lattice parameters (Å, degrees): 3.252 3.252 6.284 90.00 90.00 90.00
Fractional positions:
Tm 0.000 0.000 0.000
Cr 0.000 0.000 0.500
Rh 0.500 0.500 0.276
Rh 0.500 0.500 0.724